(1)
Crystalline CrHgSb2 at its relaxed geometry, computed with PBE-GGA.

Cell: 7.293 7.293 7.293 Å, 90.00 90.00 90.00°
Space group F-43m (No. 216)
One atom of each set of equivalent atoms:
Cr 0.000 0.000 0.000 [4 per cell]
Hg 0.250 0.250 0.750 [4 per cell]
Sb 0.000 0.000 0.500 [4 per cell]
Sb 0.250 0.250 0.250 [4 per cell]

Properties
DOS(E_F) = 0.830 states/eV/atom
distance to the lowest polymorph of the same formula = 309.7 meV/atom
E_form (uncorrected) = 10.61 kcal/mol of atoms
calculated volume = 388.0 Å³/cell

---

(2)
Crystalline CrHgSb2 at its relaxed geometry, computed with PBE-GGA.

Cell: 6.579 8.426 3.406 Å, 90.00 90.00 90.00°
Space group Cmmm (No. 65)
One atom of each set of equivalent atoms:
Cr 0.000 0.000 0.000 [2 per cell]
Hg 0.000 0.500 0.000 [2 per cell]
Sb 0.250 0.250 0.500 [4 per cell]

Properties
DOS(E_F) = 0.345 states/eV/atom
distance to the lowest polymorph of the same formula = 208.5 meV/atom
E_form (uncorrected) = 8.27 kcal/mol of atoms
calculated volume = 188.8 Å³/cell

---

(3)
Crystalline CrHgSb2 at its relaxed geometry, computed with PBE-GGA.

Cell: 3.2998 3.2998 31.0674 Å, 90.00 90.00 120.00°
Space group R-3m (No. 166, hexagonal axes)
One atom of each set of equivalent atoms:
Cr 0.0000 0.0000 0.0000 [3 per cell]
Hg 0.0000 0.0000 0.5000 [3 per cell]
Sb 0.0000 0.0000 0.2723 [6 per cell]

Properties
DOS(E_F) = 0.642 states/eV/atom
distance to the lowest polymorph of the same formula = 74.9 meV/atom
E_form (uncorrected) = 5.19 kcal/mol of atoms
calculated volume = 293.0 Å³/cell

---

(4)
Crystalline CrHg2Sb at its relaxed geometry, computed with PBE-GGA.

Cell: 4.248 3.255 7.457 Å, 90.00 106.24 90.00°
Space group Pm (No. 6)
One atom of each set of equivalent atoms:
Cr 0.000 0.000 0.000 [1 per cell]
Hg 0.216 0.000 0.431 [1 per cell]
Hg 0.838 0.500 0.673 [1 per cell]
Sb 0.556 0.500 0.115 [1 per cell]

Properties
DOS(E_F) = 0.497 states/eV/atom
E_form (uncorrected) = 5.63 kcal/mol of atoms
calculated volume = 99.0 Å³/cell

---

(5)
Crystalline CrHgSb2 at its relaxed geometry, computed with PBE-GGA.

Cell: 3.160 3.160 9.741 Å, 90.00 90.00 90.00°
Space group P4mm (No. 99)
One atom of each set of equivalent atoms:
Cr 0.000 0.000 0.000 [1 per cell]
Hg 0.500 0.500 0.198 [1 per cell]
Sb 0.000 0.000 0.457 [1 per cell]
Sb 0.500 0.500 0.806 [1 per cell]

Properties
DOS(E_F) = 0.612 states/eV/atom
distance to the lowest polymorph of the same formula = 150.9 meV/atom
E_form (uncorrected) = 6.95 kcal/mol of atoms
calculated volume = 97.3 Å³/cell

---

(6)
Crystalline CrHgSb at its relaxed geometry, computed with PBE-GGA.

Cell: 3.231 3.231 13.046 Å, 90.00 90.00 90.00°
Space group I4mm (No. 107)
One atom of each set of equivalent atoms:
Cr 0.000 0.000 0.000 [2 per cell]
Hg 0.000 0.000 0.645 [2 per cell]
Sb 0.000 0.000 0.366 [2 per cell]

Properties
DOS(E_F) = 0.644 states/eV/atom
distance to the lowest polymorph of the same formula = 108.6 meV/atom
E_form (uncorrected) = 7.58 kcal/mol of atoms
calculated volume = 136.2 Å³/cell

---

(7)
Crystalline CrHgSb2 at its relaxed geometry, computed with PBE-GGA.

Cell: 3.185 3.185 10.334 Å, 90.00 90.00 90.00°
Space group P4/mmm (No. 123)
One atom of each set of equivalent atoms:
Cr 0.000 0.000 0.000 [1 per cell]
Hg 0.000 0.000 0.500 [1 per cell]
Sb 0.500 0.500 0.180 [2 per cell]

Properties
DOS(E_F) = 0.455 states/eV/atom
distance to the lowest polymorph of the same formula = 8.9 meV/atom
E_form (uncorrected) = 3.67 kcal/mol of atoms
calculated volume = 104.8 Å³/cell

---

(8)
Crystalline CrHg2Sb at its relaxed geometry, computed with PBE-GGA.

Cell: 5.722 9.319 3.431 Å, 90.00 90.00 90.00°
Space group Cmmm (No. 65)
One atom of each set of equivalent atoms:
Cr 0.000 0.000 0.000 [2 per cell]
Hg 0.250 0.250 0.500 [4 per cell]
Sb 0.000 0.500 0.000 [2 per cell]

Properties
DOS(E_F) = 0.574 states/eV/atom
E_form (uncorrected) = 9.22 kcal/mol of atoms
calculated volume = 183.0 Å³/cell

---

(9)
Crystalline CrHg2Sb at its relaxed geometry, computed with PBE-GGA.

Cell: 4.452 4.452 9.138 Å, 90.00 90.00 90.00°
Space group I-4m2 (No. 119)
One atom of each set of equivalent atoms:
Cr 0.000 0.000 0.000 [2 per cell]
Hg 0.000 0.000 0.500 [2 per cell]
Hg 0.000 0.500 0.750 [2 per cell]
Sb 0.000 0.500 0.250 [2 per cell]

Properties
DOS(E_F) = 0.497 states/eV/atom
E_form (uncorrected) = 8.47 kcal/mol of atoms
calculated volume = 181.2 Å³/cell

---

(10)
Crystalline CrHg2Sb at its relaxed geometry, computed with PBE-GGA.

Cell: 3.224 5.613 6.068 Å, 112.61 100.01 102.91°
Space group P1 (No. 1)
One atom of each set of equivalent atoms:
Cr 0.000 0.000 0.000 [1 per cell]
Hg 0.243 0.718 0.567 [1 per cell]
Hg 0.702 0.150 0.437 [1 per cell]
Sb 0.743 0.457 0.001 [1 per cell]

Properties
DOS(E_F) = 0.417 states/eV/atom
E_form (uncorrected) = 6.39 kcal/mol of atoms
calculated volume = 94.6 Å³/cell

---

(11)
Crystalline CrHgSb at its relaxed geometry, computed with PBE-GGA.

Cell: 3.4531 3.4531 6.6975 Å, 90.00 90.00 120.00°
Space group P3m1 (No. 156)
One atom of each set of equivalent atoms:
Cr 0.0000 0.0000 0.0000 [1 per cell]
Hg 0.3333 0.6667 0.3122 [1 per cell]
Sb 0.6667 0.3333 0.7097 [1 per cell]

Properties
DOS(E_F) = 0.540 states/eV/atom
distance to the lowest polymorph of the same formula = 127.5 meV/atom
E_form (uncorrected) = 8.02 kcal/mol of atoms
calculated volume = 69.2 Å³/cell

---

(12)
Crystalline CrHg2Sb at its relaxed geometry, computed with PBE-GGA.

Cell: 3.4296 3.4296 27.6336 Å, 90.00 90.00 120.00°
Space group R-3m (No. 166, hexagonal axes)
One atom of each set of equivalent atoms:
Cr 0.0000 0.0000 0.0000 [3 per cell]
Hg 0.0000 0.0000 0.2586 [6 per cell]
Sb 0.0000 0.0000 0.5000 [3 per cell]

Properties
DOS(E_F) = 0.357 states/eV/atom
E_form (uncorrected) = 8.45 kcal/mol of atoms
calculated volume = 281.5 Å³/cell

---

(13)
Crystalline CrHg4Sb at its relaxed geometry, computed with PBE-GGA.

Cell: 8.392 8.392 8.392 Å, 90.00 90.00 90.00°
Space group F-43m (No. 216)
One atom of each set of equivalent atoms:
Cr 0.000 0.000 0.000 [4 per cell]
Hg 0.125 0.125 0.625 [16 per cell]
Sb 0.250 0.250 0.250 [4 per cell]

Properties
DOS(E_F) = 0.589 states/eV/atom
E_form (uncorrected) = 11.35 kcal/mol of atoms
calculated volume = 591.0 Å³/cell

---

(14)
Crystalline CrHgSb2 at its relaxed geometry, computed with PBE-GGA.

Cell: 4.109 4.113 5.775 Å, 90.00 105.34 90.00°
Space group Pm (No. 6)
One atom of each set of equivalent atoms:
Cr 0.000 0.000 0.000 [1 per cell]
Hg 0.280 0.500 0.369 [1 per cell]
Sb 0.475 0.500 0.908 [1 per cell]
Sb 0.832 0.000 0.493 [1 per cell]

Properties
DOS(E_F) = 0.657 states/eV/atom
distance to the lowest polymorph of the same formula = 134.4 meV/atom
E_form (uncorrected) = 6.57 kcal/mol of atoms
calculated volume = 94.1 Å³/cell

---

(15)
Crystalline Cr2HgSb2 at its relaxed geometry, computed with PBE-GGA.

Cell: 7.782 7.782 3.493 Å, 90.00 90.00 90.00°
Space group P4/mbm (No. 127)
One atom of each set of equivalent atoms:
Cr 0.139 0.361 0.000 [4 per cell]
Hg 0.000 0.000 0.000 [2 per cell]
Sb 0.156 0.656 0.500 [4 per cell]

Properties
DOS(E_F) = 0.416 states/eV/atom
E_form (uncorrected) = 6.27 kcal/mol of atoms
calculated volume = 211.5 Å³/cell

---

(16)
Crystalline CrHg2Sb at its relaxed geometry, computed with PBE-GGA.

Cell: 7.189 7.189 7.189 Å, 90.00 90.00 90.00°
Space group F-43m (No. 216)
One atom of each set of equivalent atoms:
Cr 0.000 0.000 0.000 [4 per cell]
Hg 0.000 0.000 0.500 [4 per cell]
Hg 0.250 0.250 0.750 [4 per cell]
Sb 0.250 0.250 0.250 [4 per cell]

Properties
DOS(E_F) = 0.520 states/eV/atom
E_form (uncorrected) = 9.20 kcal/mol of atoms
calculated volume = 371.6 Å³/cell

---

(17)
Crystalline CrHgSb at its relaxed geometry, computed with PBE-GGA.

Cell: 4.1645 4.1645 4.7893 Å, 90.00 90.00 120.00°
Space group P3m1 (No. 156)
One atom of each set of equivalent atoms:
Cr 0.0000 0.0000 0.0000 [1 per cell]
Hg 0.3333 0.6667 0.3262 [1 per cell]
Sb 0.6667 0.3333 0.7317 [1 per cell]

Properties
DOS(E_F) = 0.479 states/eV/atom
distance to the lowest polymorph of the same formula = 151.7 meV/atom
E_form (uncorrected) = 8.57 kcal/mol of atoms
calculated volume = 71.9 Å³/cell

---

(18)
Crystalline CrHgSb2 at its relaxed geometry, computed with PBE-GGA.

Cell: 8.110 3.201 8.233 Å, 90.00 94.40 90.00°
Space group C2/m (No. 12)
One atom of each set of equivalent atoms:
Cr 0.000 0.000 0.000 [2 per cell]
Hg 0.000 0.500 0.500 [2 per cell]
Sb 0.196 0.500 0.814 [4 per cell]

Properties
DOS(E_F) = 0.526 states/eV/atom
distance to the lowest polymorph of the same formula = 22.9 meV/atom
E_form (uncorrected) = 3.99 kcal/mol of atoms
calculated volume = 213.1 Å³/cell

---

(19)
Crystalline CrHgSb2 at its relaxed geometry, computed with PBE-GGA.

Cell: 4.268 4.268 10.407 Å, 90.00 90.00 90.00°
Space group I-4m2 (No. 119)
One atom of each set of equivalent atoms:
Cr 0.000 0.000 0.000 [2 per cell]
Hg 0.000 0.500 0.750 [2 per cell]
Sb 0.000 0.000 0.500 [2 per cell]
Sb 0.000 0.500 0.250 [2 per cell]

Properties
DOS(E_F) = 0.665 states/eV/atom
distance to the lowest polymorph of the same formula = 237.9 meV/atom
E_form (uncorrected) = 8.95 kcal/mol of atoms
calculated volume = 189.6 Å³/cell

---

(20)
Crystalline CrHgSb2 at its relaxed geometry, computed with PBE-GGA.

Cell: 3.266 4.413 13.682 Å, 90.00 90.00 90.00°
Space group Imm2 (No. 44)
One atom of each set of equivalent atoms:
Cr 0.000 0.000 0.000 [2 per cell]
Hg 0.000 0.500 0.708 [2 per cell]
Sb 0.000 0.000 0.535 [2 per cell]
Sb 0.000 0.500 0.335 [2 per cell]

Properties
DOS(E_F) = 0.675 states/eV/atom
distance to the lowest polymorph of the same formula = 116.8 meV/atom
E_form (uncorrected) = 6.16 kcal/mol of atoms
calculated volume = 197.2 Å³/cell

---

(21)
Crystalline CrHg2Sb at its relaxed geometry, computed with PBE-GGA.

Cell: 11.257 4.054 4.206 Å, 90.00 91.17 90.00°
Space group C2/m (No. 12)
One atom of each set of equivalent atoms:
Cr 0.000 0.000 0.000 [2 per cell]
Hg 0.236 0.000 0.246 [4 per cell]
Sb 0.000 0.500 0.500 [2 per cell]

Properties
DOS(E_F) = 0.421 states/eV/atom
E_form (uncorrected) = 6.83 kcal/mol of atoms
calculated volume = 191.9 Å³/cell

---

(22)
Crystalline CrHgSb2 at its relaxed geometry, computed with PBE-GGA.

Cell: 7.240 7.240 7.240 Å, 90.00 90.00 90.00°
Space group Fm-3m (No. 225)
One atom of each set of equivalent atoms:
Cr 0.000 0.000 0.000 [4 per cell]
Hg 0.000 0.000 0.500 [4 per cell]
Sb 0.250 0.250 0.250 [8 per cell]

Properties
DOS(E_F) = 0.570 states/eV/atom
distance to the lowest polymorph of the same formula = 275.1 meV/atom
E_form (uncorrected) = 9.81 kcal/mol of atoms
calculated volume = 379.5 Å³/cell

---

(23)
Crystalline CrHg2Sb at its relaxed geometry, computed with PBE-GGA.

Cell: 3.138 4.784 12.884 Å, 90.00 90.00 90.00°
Space group Imm2 (No. 44)
One atom of each set of equivalent atoms:
Cr 0.000 0.000 0.000 [2 per cell]
Hg 0.000 0.000 0.500 [2 per cell]
Hg 0.000 0.500 0.686 [2 per cell]
Sb 0.000 0.500 0.319 [2 per cell]

Properties
DOS(E_F) = 0.466 states/eV/atom
E_form (uncorrected) = 5.89 kcal/mol of atoms
calculated volume = 193.4 Å³/cell

---

(24)
Crystalline CrHg2Sb at its relaxed geometry, computed with PBE-GGA.

Cell: 4.191 4.191 5.133 Å, 90.00 90.00 90.00°
Space group P4/mmm (No. 123)
One atom of each set of equivalent atoms:
Cr 0.000 0.000 0.000 [1 per cell]
Hg 0.000 0.500 0.500 [2 per cell]
Sb 0.500 0.500 0.000 [1 per cell]

Properties
DOS(E_F) = 0.505 states/eV/atom
E_form (uncorrected) = 7.72 kcal/mol of atoms
calculated volume = 90.1 Å³/cell

---

(25)
Crystalline Cr3HgSb at its relaxed geometry, computed with PBE-GGA.

Cell: 5.317 5.317 5.317 Å, 90.00 90.00 90.00°
Space group Pm-3m (No. 221)
One atom of each set of equivalent atoms:
Cr 0.000 0.000 0.500 [3 per cell]
Hg 0.500 0.500 0.500 [1 per cell]
Sb 0.000 0.000 0.000 [1 per cell]

Properties
DOS(E_F) = 0.619 states/eV/atom
distance to the lowest polymorph of the same formula = 0.0 meV/atom
E_form (uncorrected) = 25.42 kcal/mol of atoms
calculated volume = 150.3 Å³/cell

---

(26)
Crystalline CrHgSb2 at its relaxed geometry, computed with PBE-GGA.

Cell: 3.284 4.091 7.245 Å, 90.00 90.00 90.00°
Space group Pmm2 (No. 25)
One atom of each set of equivalent atoms:
Cr 0.000 0.000 0.000 [1 per cell]
Hg 0.500 0.500 0.220 [1 per cell]
Sb 0.000 0.000 0.434 [1 per cell]
Sb 0.500 0.500 0.815 [1 per cell]

Properties
DOS(E_F) = 0.526 states/eV/atom
distance to the lowest polymorph of the same formula = 174.9 meV/atom
E_form (uncorrected) = 7.50 kcal/mol of atoms
calculated volume = 97.3 Å³/cell

---

(27)
Crystalline CrHg2Sb at its relaxed geometry, computed with PBE-GGA.

Cell: 3.551 3.951 6.622 Å, 90.00 90.00 90.00°
Space group Pmm2 (No. 25)
One atom of each set of equivalent atoms:
Cr 0.000 0.000 0.000 [1 per cell]
Hg 0.000 0.000 0.524 [1 per cell]
Hg 0.500 0.500 0.290 [1 per cell]
Sb 0.500 0.500 0.841 [1 per cell]

Properties
DOS(E_F) = 0.456 states/eV/atom
E_form (uncorrected) = 6.71 kcal/mol of atoms
calculated volume = 92.9 Å³/cell

---

(28)
Crystalline CrHgSb2 at its relaxed geometry, computed with PBE-GGA.

Cell: 3.3657 3.3657 29.5155 Å, 90.00 90.00 120.00°
Space group R3m (No. 160, hexagonal axes)
One atom of each set of equivalent atoms:
Cr 0.0000 0.0000 0.0000 [3 per cell]
Hg 0.0000 0.0000 0.7382 [3 per cell]
Sb 0.0000 0.0000 0.2640 [3 per cell]
Sb 0.0000 0.0000 0.4922 [3 per cell]

Properties
DOS(E_F) = 0.623 states/eV/atom
distance to the lowest polymorph of the same formula = 202.6 meV/atom
E_form (uncorrected) = 8.14 kcal/mol of atoms
calculated volume = 289.6 Å³/cell

---

(29)
Crystalline CrHgSb2 at its relaxed geometry, computed with PBE-GGA.

Cell: 3.106 3.740 8.710 Å, 90.00 91.22 90.00°
Space group P2/m (No. 10)
One atom of each set of equivalent atoms:
Cr 0.000 0.000 0.000 [1 per cell]
Hg 0.500 0.000 0.500 [1 per cell]
Sb 0.489 0.500 0.817 [2 per cell]

Properties
DOS(E_F) = 0.462 states/eV/atom
distance to the lowest polymorph of the same formula = 0.0 meV/atom
E_form (uncorrected) = 3.47 kcal/mol of atoms
calculated volume = 101.1 Å³/cell

---

(30)
Crystalline CrHg2Sb at its relaxed geometry, computed with PBE-GGA.

Cell: 3.197 3.197 8.967 Å, 90.00 90.00 90.00°
Space group P4/mmm (No. 123)
One atom of each set of equivalent atoms:
Cr 0.000 0.000 0.000 [1 per cell]
Hg 0.500 0.500 0.211 [2 per cell]
Sb 0.000 0.000 0.500 [1 per cell]

Properties
DOS(E_F) = 0.436 states/eV/atom
E_form (uncorrected) = 8.06 kcal/mol of atoms
calculated volume = 91.6 Å³/cell